[1]
The following is a DFT calculation (PBE) of a relaxed structure of GaGeNO2.

Cell lengths 3.9253, 3.9253, 3.9117 Å; angles 90.00, 90.00, 90.00 degrees
Last column: nearest neighbours and their distance in Å.
Fractional coordinates of all 5 atoms:
Ga: 0.0000 0.0000 0.0000  2 N 1.96, 4 O 1.96
Ge: 0.5000 0.5000 0.5000  8 O 2.77, 4 N 2.78
N: 0.0000 0.0000 0.5000  2 Ga 1.96
O: 0.0000 0.5000 0.0000  2 Ga 1.96
O: 0.5000 0.0000 0.0000  2 Ga 1.96

Output
The calculation puts the electronic total energy at -25.79 eV/f.u. As for the symmetry: P4/mmm, No. 123. For the formation energy without anion corrections, the calculation gives 0.0183 eV per atom.



[2]
The following is a DFT calculation (PBE) of a relaxed structure of NpHgBi2.

Cell lengths 7.0809, 7.0809, 7.0809 Å; angles 39.92, 39.92, 39.92 degrees
Last column: nearest neighbours and their distance in Å.
Fractional coordinates of all 4 atoms:
Np: 0.0000 0.0000 0.0000  6 Bi 3.18, 1 Hg 3.29
Hg: 0.1686 0.1686 0.1686  6 Bi 3.27-3.31, 1 Np 3.29
Bi: 0.4111 0.4111 0.4111  3 Np 3.18, 3 Hg 3.31, 1 Bi 3.47
Bi: 0.5888 0.5888 0.5888  3 Np 3.18, 3 Hg 3.27, 1 Bi 3.47

Output
The calculation puts the electronic total energy at -19.97 eV/f.u. Its energy above the lowest structure with this stoichiometry is 0.265 eV per atom. The calculation puts the energy relative to the elements at 0.260 eV/atom. As for the symmetry: R3m, No. 160.



[3]
The following is a DFT calculation (PBE) of a relaxed structure of AlInPt2.

Cell lengths 5.0194, 5.0194, 4.3325 Å; angles 106.29, 106.29, 40.18 degrees
Last column: nearest neighbours and their distance in Å.
Fractional coordinates of all 4 atoms:
Al: 0.0000 0.0000 0.0000  7 Pt 2.68-2.80, 1 In 2.99
In: 0.2375 0.2375 0.6370  7 Pt 2.68-2.81, 1 Al 2.99
Pt: 0.4933 0.4933 0.4872  3 In 2.68-2.79, 4 Al 2.74-2.80, 1 Pt 2.96
Pt: 0.7277 0.7277 0.1190  3 Al 2.68-2.77, 4 In 2.73-2.81, 1 Pt 2.96

Output
The calculation puts the electronic total energy at -21.02 eV/f.u. The calculation puts the energy relative to the elements at -0.613 eV/atom. As for the symmetry: Cm, No. 8.



[4]
The following is a DFT calculation (PBE) of a relaxed structure of CaPr6Dy3.

Cell lengths 11.7252, 3.6262, 16.6616 Å; angles 90.00, 90.25, 90.00 degrees
Last column: nearest neighbours and their distance in Å.
Fractional coordinates of all 20 atoms:
Ca: 0.1255 0.2500 0.4598  1 Dy 3.51, 4 Ca 3.63-3.71, 5 Pr 3.72-3.87
Ca: 0.8745 0.7500 0.5402  1 Dy 3.51, 4 Ca 3.63-3.71, 5 Pr 3.72-3.87
Pr: 0.1055 0.2500 0.0618  4 Dy 3.43-3.59, 6 Pr 3.63-3.71
Pr: 0.1327 0.7500 0.6728  2 Dy 3.53, 7 Pr 3.63-3.88, 1 Ca 3.74
Pr: 0.1404 0.7500 0.2547  6 Pr 3.63-3.88, 5 Dy 3.66-3.70, 2 Ca 3.87
Pr: 0.3647 0.7500 0.9579  5 Dy 3.59-3.70, 8 Pr 3.63-3.95
Pr: 0.3793 0.7500 0.5387  3 Dy 3.41-3.66, 5 Pr 3.60-3.66, 2 Ca 3.72
Pr: 0.3928 0.2500 0.7512  5 Dy 3.53-3.69, 6 Pr 3.63-3.91
Pr: 0.6072 0.7500 0.2488  5 Dy 3.53-3.69, 6 Pr 3.63-3.91
Pr: 0.6207 0.2500 0.4613  3 Dy 3.41-3.66, 5 Pr 3.60-3.66, 2 Ca 3.72
Pr: 0.6353 0.2500 0.0421  5 Dy 3.59-3.70, 8 Pr 3.63-3.95
Pr: 0.8596 0.2500 0.7453  6 Pr 3.63-3.88, 5 Dy 3.66-3.70, 2 Ca 3.87
Pr: 0.8673 0.2500 0.3272  2 Dy 3.53, 7 Pr 3.63-3.88, 1 Ca 3.74
Pr: 0.8945 0.7500 0.9382  4 Dy 3.43-3.59, 6 Pr 3.63-3.71
Dy: 0.1308 0.2500 0.8549  9 Pr 3.46-3.70, 2 Dy 3.63
Dy: 0.3707 0.2500 0.1500  3 Dy 3.30-3.63, 6 Pr 3.43-3.69
Dy: 0.3781 0.2500 0.3480  3 Dy 3.30-3.63, 7 Pr 3.41-3.67, 1 Ca 3.51
Dy: 0.6219 0.7500 0.6520  3 Dy 3.30-3.63, 7 Pr 3.41-3.67, 1 Ca 3.51
Dy: 0.6293 0.7500 0.8500  3 Dy 3.30-3.63, 6 Pr 3.43-3.69
Dy: 0.8692 0.7500 0.1451  9 Pr 3.46-3.70, 2 Dy 3.63

Output
The calculation puts the electronic total energy at -44.01 eV/f.u. The calculation puts the energy relative to the elements at 0.048 eV/atom. As for the symmetry: P2_1/m, No. 11.



[5]
The following is a DFT calculation (PBE) of a relaxed structure of TiTcNi.

Cell lengths 4.8168, 4.8168, 4.8168 Å; angles 121.17, 103.62, 104.30 degrees
Last column: nearest neighbours and their distance in Å.
Fractional coordinates of all 6 atoms:
Ti: 0.1578 0.2500 0.4078  4 Ni 2.53-2.54, 1 Tc 2.60
Ti: 0.8422 0.7500 0.5922  4 Ni 2.53-2.54, 1 Tc 2.60
Tc: 0.5372 0.9428 0.0944  4 Ni 2.53-2.54, 1 Ti 2.60
Tc: 0.8483 0.4428 0.9056  4 Ni 2.53-2.54, 1 Ti 2.60
Ni: 0.3457 0.3457 0.0000  2 Ni 2.37, 4 Ti 2.53-2.54, 4 Tc 2.53-2.54
Ni: 0.3457 0.8457 0.5000  2 Ni 2.37, 4 Ti 2.53-2.54, 4 Tc 2.53-2.54

Output
The calculation puts the electronic total energy at -24.79 eV/f.u. Its energy above the lowest structure with this stoichiometry is 0.029 eV per atom. The calculation puts the energy relative to the elements at -0.250 eV/atom. As for the symmetry: Ima2, No. 46.



[6]
The following is a DFT calculation (PBE) of a relaxed structure of TbThBiAs.

Cell lengths 7.8530, 7.8530, 7.8530 Å; angles 31.83, 31.83, 31.83 degrees
Last column: nearest neighbours and their distance in Å.
Fractional coordinates of all 4 atoms:
Tb: 0.0000 0.0000 0.0000  3 As 2.96, 3 Bi 3.24
Th: 0.8117 0.8117 0.8117  3 As 2.97, 3 Bi 3.28
Bi: 0.2404 0.2404 0.2404  3 Tb 3.24, 3 Th 3.28
As: 0.4053 0.4053 0.4053  3 Tb 2.96, 3 Th 2.97

Output
The calculation puts the electronic total energy at -24.67 eV/f.u. The calculation puts the energy relative to the elements at -1.021 eV/atom. As for the symmetry: R3m, No. 160.